(1)
Computed, not measured: crystalline YTcOs at its relaxed geometry at the PBE-GGA level of DFT.

Computed properties:
magnetic moment	0.0	μB/cell
ΔH_f (0 K)	-46	kJ/mol of formula units
density of states at the Fermi level	8.52	states/eV/cell

Cell lengths 10.2189, 4.3756, 7.1058 Å; angles 90.00, 132.55, 90.00 degrees
Closest atoms and distances in Å follow each position.
Atoms (fractional coordinates):
Y: 0.0658 0.0000 0.3160  6 Os 2.99-3.32, 6 Tc 3.03-3.32
Y: 0.4342 0.5000 0.6840  6 Os 2.99-3.32, 6 Tc 3.03-3.32
Y: 0.5658 0.5000 0.3160  6 Os 2.99-3.32, 6 Tc 3.03-3.32
Y: 0.9342 0.0000 0.6840  6 Os 2.99-3.32, 6 Tc 3.03-3.32
Tc: 0.1624 0.5000 0.0744  3 Os 2.46-2.55, 1 Tc 2.72
Tc: 0.3376 0.0000 0.9256  3 Os 2.46-2.55, 1 Tc 2.72
Tc: 0.6624 0.0000 0.0744  3 Os 2.46-2.55, 1 Tc 2.72
Tc: 0.8376 0.5000 0.9256  3 Os 2.46-2.55, 1 Tc 2.72
Os: 0.1653 0.5000 0.7314  3 Tc 2.46-2.55, 1 Os 2.68
Os: 0.3347 0.0000 0.2686  3 Tc 2.46-2.55, 1 Os 2.68
Os: 0.6653 0.0000 0.7314  3 Tc 2.46-2.55, 1 Os 2.68
Os: 0.8347 0.5000 0.2686  3 Tc 2.46-2.55, 1 Os 2.68

(2)
Computed, not measured: crystalline MgScAs2 at its relaxed geometry at the PBE-GGA level of DFT.

Computed properties:
magnetic moment	0.0	μB/cell
ΔH_f (0 K)	-264	kJ/mol of formula units
density of states at the Fermi level	3.16	states/eV/cell

Cell lengths 3.8781, 3.8798, 10.2306 Å; angles 90.00, 90.00, 90.00 degrees
Closest atoms and distances in Å follow each position.
Atoms (fractional coordinates):
Mg: 0.0000 0.0000 0.0000  4 As 2.74
Mg: 0.5000 0.5000 0.5000  4 As 2.74
Sc: 0.0000 0.5000 0.7501  4 As 2.74
Sc: 0.5000 0.0000 0.2501  4 As 2.74
As: 0.0000 0.0000 0.5006  4 Mg 2.74
As: 0.0000 0.5000 0.2504  4 Sc 2.74
As: 0.5000 0.0000 0.7504  4 Sc 2.74
As: 0.5000 0.5000 0.0006  4 Mg 2.74

(3)
Computed, not measured: crystalline TbPmSnAu at its relaxed geometry at the PBE-GGA level of DFT.

Computed properties:
magnetic moment	2.9	μB/cell
ΔH_f (0 K)	-277	kJ/mol of formula units
density of states at the Fermi level	13.19	states/eV/cell

Cell lengths 7.4887, 7.4887, 7.4887 Å; angles 90.00, 90.00, 90.00 degrees
Closest atoms and distances in Å follow each position.
Atoms (fractional coordinates):
Tb: 0.0000 0.0000 0.0000  4 Sn 3.24, 4 Au 3.24
Tb: 0.0000 0.5000 0.5000  4 Sn 3.24, 4 Au 3.24
Tb: 0.5000 0.0000 0.5000  4 Sn 3.24, 4 Au 3.24
Tb: 0.5000 0.5000 0.0000  4 Sn 3.24, 4 Au 3.24
Pm: 0.0000 0.0000 0.5000  4 Au 3.24, 4 Sn 3.24
Pm: 0.0000 0.5000 0.0000  4 Au 3.24, 4 Sn 3.24
Pm: 0.5000 0.0000 0.0000  4 Au 3.24, 4 Sn 3.24
Pm: 0.5000 0.5000 0.5000  4 Au 3.24, 4 Sn 3.24
Sn: 0.2500 0.2500 0.7500  4 Pm 3.24, 4 Tb 3.24
Sn: 0.2500 0.7500 0.2500  4 Pm 3.24, 4 Tb 3.24
Sn: 0.7500 0.2500 0.2500  4 Pm 3.24, 4 Tb 3.24
Sn: 0.7500 0.7500 0.7500  4 Pm 3.24, 4 Tb 3.24
Au: 0.2500 0.2500 0.2500  4 Tb 3.24, 4 Pm 3.24
Au: 0.2500 0.7500 0.7500  4 Tb 3.24, 4 Pm 3.24
Au: 0.7500 0.2500 0.7500  4 Tb 3.24, 4 Pm 3.24
Au: 0.7500 0.7500 0.2500  4 Tb 3.24, 4 Pm 3.24

(4)
Computed, not measured: crystalline AcTb8Pr6 at its relaxed geometry at the PBE-GGA level of DFT.

Computed properties:
magnetic moment	0.0	μB/cell
ΔH_f (0 K)	277	kJ/mol of formula units
density of states at the Fermi level	21.03	states/eV/cell

Cell lengths 8.4350, 8.4350, 8.4350 Å; angles 71.59, 71.59, 71.59 degrees
Closest atoms and distances in Å follow each position.
Atoms (fractional coordinates):
Ac: 0.0000 0.0000 0.0000  6 Tb 3.25
Tb: 0.0572 0.3880 0.8598  3 Tb 3.21-3.55, 1 Ac 3.25, 4 Pr 3.46-3.55
Tb: 0.1402 0.9428 0.6120  3 Tb 3.21-3.55, 1 Ac 3.25, 4 Pr 3.46-3.55
Tb: 0.2294 0.2294 0.2294  6 Tb 3.39-3.55
Tb: 0.3880 0.8598 0.0572  3 Tb 3.21-3.55, 1 Ac 3.25, 4 Pr 3.46-3.55
Tb: 0.6120 0.1402 0.9428  3 Tb 3.21-3.55, 1 Ac 3.25, 4 Pr 3.46-3.55
Tb: 0.7706 0.7706 0.7706  6 Tb 3.39-3.55
Tb: 0.8598 0.0572 0.3880  3 Tb 3.21-3.55, 1 Ac 3.25, 4 Pr 3.46-3.55
Tb: 0.9428 0.6120 0.1402  3 Tb 3.21-3.55, 1 Ac 3.25, 4 Pr 3.46-3.55
Pr: 0.1679 0.6192 0.4279  6 Tb 3.46-3.84, 3 Pr 3.66-3.87
Pr: 0.3808 0.5721 0.8321  6 Tb 3.46-3.84, 3 Pr 3.66-3.87
Pr: 0.4279 0.1679 0.6192  6 Tb 3.46-3.84, 3 Pr 3.66-3.87
Pr: 0.5721 0.8321 0.3808  6 Tb 3.46-3.84, 3 Pr 3.66-3.87
Pr: 0.6192 0.4279 0.1679  6 Tb 3.46-3.84, 3 Pr 3.66-3.87
Pr: 0.8321 0.3808 0.5721  6 Tb 3.46-3.84, 3 Pr 3.66-3.87